Arrangement a

YSbF3: relaxed, PBE.

Cell: 4.5226 4.5226 4.5226 Å, 90.00 90.00 90.00°
Element x y z (fractional)
Y 0.0000 0.0000 0.0000
Sb 0.5000 0.5000 0.5000
F 0.5000 0.0000 0.0000
F 0.0000 0.0000 0.5000
F 0.0000 0.5000 0.0000

The value obtained for the density of states at the Fermi level is 3.5 states/eV/cell. As for the space group: Pm-3m (221). As for the total magnetic moment: 0.00 μB/cell.

***

Arrangement b

YSbF3: relaxed, PBE.

Cell: 4.6753 4.6753 4.6753 Å, 90.00 90.00 90.00°
Element x y z (fractional)
Sb 0.0000 0.0000 0.0000
F 0.0000 0.0000 0.5000
F 0.0000 0.5000 0.0000
F 0.5000 0.0000 0.0000
Y 0.5000 0.5000 0.5000

The value obtained for the density of states at the Fermi level is 3.7 states/eV/cell. As for the space group: Pm-3m (221). As for the total magnetic moment: 0.00 μB/cell.

***

According to the calculations, the structures order from most to least stable as arrangement a, arrangement b.

***

Arrangement a

ZnSb3F: relaxed, PBE.

Cell: 4.9346 4.9346 4.9346 Å, 90.00 90.00 90.00°
Element x y z (fractional)
Sb 0.0000 0.0000 0.5000
Sb 0.5000 0.0000 0.0000
Sb 0.0000 0.5000 0.0000
Zn 0.5000 0.5000 0.5000
F 0.0000 0.0000 0.0000

The value obtained for the density of states at the Fermi level is 2.7 states/eV/cell. As for the space group: Pm-3m (221). As for the total magnetic moment: 0.00 μB/cell.

***

Arrangement b

ZnSb3F: relaxed, PBE.

Cell: 5.1860 5.1860 5.1860 Å, 90.00 90.00 90.00°
Element x y z (fractional)
Sb 0.5000 0.0000 0.0000
Sb 0.0000 0.5000 0.0000
Sb 0.0000 0.0000 0.5000
F 0.5000 0.5000 0.5000
Zn 0.0000 0.0000 0.0000

The value obtained for the density of states at the Fermi level is 4.6 states/eV/cell. As for the space group: Pm-3m (221). As for the total magnetic moment: 0.00 μB/cell.

***

According to the calculations, the structures order from most to least stable as arrangement a, arrangement b.

***

Arrangement a

ZnSb2F: relaxed, PBE.

Cell: 4.7627 4.7627 4.7627 Å, 60.00 60.00 60.00°
Element x y z (fractional)
Sb 0.2500 0.2500 0.2500
Sb 0.7500 0.7500 0.7500
Zn 0.5000 0.5000 0.5000
F 0.0000 0.0000 0.0000

The value obtained for the density of states at the Fermi level is 1.5 states/eV/cell. As for the space group: Fm-3m (225). As for the total magnetic moment: 0.00 μB/cell.

***

Arrangement b

ZnSb2F: relaxed, PBE.

Cell: 4.4133 4.4133 9.7081 Å, 76.86 76.86 90.00°
Element x y z (fractional)
F 0.5000 0.5000 0.0000
F 0.2500 0.7500 0.5000
Sb 0.5948 0.1250 0.2500
Sb 0.3750 0.4052 0.7500
Sb 0.8750 0.8448 0.7500
Sb 0.1552 0.6250 0.2500
Zn 0.0000 0.0000 0.0000
Zn 0.7500 0.2500 0.5000

The value obtained for the density of states at the Fermi level is 4.2 states/eV/cell. As for the space group: I-42d (122). As for the total magnetic moment: 0.00 μB/cell.

***

According to the calculations, the structures order from most to least stable as arrangement a, arrangement b.

***

Arrangement a

ZrSb2F2: relaxed, PBE.

Cell: 3.6901 3.6901 7.2606 Å, 75.28 75.28 90.00°
Element x y z (fractional)
F 0.2500 0.7500 0.5000
F 0.7500 0.2500 0.5000
Zr 0.0000 0.0000 0.0000
Sb 0.3814 0.3814 0.2373
Sb 0.6186 0.6186 0.7627

The value obtained for the density of states at the Fermi level is 3.2 states/eV/cell. As for the space group: I4/mmm (139). As for the total magnetic moment: 0.00 μB/cell.

***

Arrangement b

ZrSb2F2: relaxed, PBE.

Cell: 7.8594 7.8594 3.2630 Å, 90.00 90.00 90.00°
Element x y z (fractional)
Sb 0.6370 0.1370 0.0000
Sb 0.1370 0.3630 0.0000
Sb 0.8630 0.6370 0.0000
Sb 0.3630 0.8630 0.0000
F 0.8063 0.3063 0.5000
F 0.3063 0.1937 0.5000
F 0.6937 0.8063 0.5000
F 0.1937 0.6937 0.5000
Zr 0.0000 0.0000 0.0000
Zr 0.5000 0.5000 0.0000

The value obtained for the density of states at the Fermi level is 6.8 states/eV/cell. As for the space group: P4/mbm (127). As for the total magnetic moment: 0.00 μB/cell.

***

According to the calculations, the structures order from most to least stable as arrangement a, arrangement b.